Entry 1:
10
Lattice="-3.6448 1.2553 -4.2378 3.0395 -3.6002 -3.6806 -3.3845 -4.3658 1.4754" Properties=species:S:1:pos:R:3 comment="NdZnGa3 | Alexandria | PBE | optimized geometry" ef_ev_per_atom=-0.42 pbc="T T T"
Ga -3.8593 -1.7870 -3.8670
Ga 1.8935 -4.0852 -4.1499
Ga -5.8834 -2.6255 -2.2931
Ga 0.3754 -2.2871 -2.3116
Ga -4.3653 -4.4236 -4.1314
Ga -0.1307 -4.9236 -2.5760
Nd -1.3030 -3.3526 -5.0808
Nd -2.6869 -3.3581 -1.3622
Zn -1.7171 -0.8288 -3.0354
Zn -2.2728 -5.8819 -3.4076

***

Entry 2:
5
Lattice="-1.9308 1.7902 -5.7015 -4.6127 -4.2558 0.2258 -2.3630 2.6477 1.6316" Properties=species:S:1:pos:R:3 comment="Cs2PdClO | Alexandria | PBE | optimized geometry" e_form_raw_ev_per_fu=-5.7 pbc="T T T"
O 0.0000 0.0000 0.0000
Cl -4.4532 0.0910 -1.9221
Cs -0.9654 0.8951 -2.8507
Cs -2.3063 -2.1279 0.1129
Pd -1.1815 1.3238 0.8158

***

Entry 3:
4
Lattice="0.0000 3.0504 3.0504 3.0504 0.0000 3.0504 3.0504 3.0504 0.0000" Properties=species:S:1:pos:R:3 comment="LaGaH2 | Alexandria | PBE | optimized geometry" final_energy_ev_per_cell=-15.76 pbc="T T T"
La 3.0504 3.0504 3.0504
Ga 0.0000 0.0000 0.0000
H 1.5252 1.5252 1.5252
H 4.5756 4.5756 4.5756

***

Entry 4:
5
Lattice="-1.4518 4.0682 -1.5035 -3.9770 -0.6161 2.1731 1.7304 1.9972 3.7330" Properties=species:S:1:pos:R:3 comment="NaSiPd3 | Alexandria | PBE | optimized geometry" e_form_raw_ev_per_fu=5.3 pbc="T T T"
Si -1.8492 2.7247 2.2013
Na 0.0000 0.0000 0.0000
Pd 0.8652 0.9986 1.8665
Pd -1.9885 -0.3080 1.0866
Pd -0.7259 2.0341 -0.7518